(1)
YNi2Ir | PBE | optimized geometry

**Calculated total energy**: -6.90 eV per atom
**SG**: Fm-3m (225)
**Calculated formation energy**: -179 meV/atom
**Energy above the lowest structure with this stoichiometry**: 0.86 eV per formula unit

Lattice parameters (Å, degrees): 4.431 4.431 4.431 60.00 60.00 60.00
Fractional positions:
Y 0.000 0.000 0.000
Ni 0.250 0.250 0.250
Ni 0.750 0.750 0.750
Ir 0.500 0.500 0.500

(2)
Y3NiIr2 | PBE | optimized geometry

**Calculated total energy**: -7.83 eV per atom
**SG**: Pnma (62)
**Calculated formation energy**: -685 meV/atom

Lattice parameters (Å, degrees): 11.191 4.149 11.125 90.00 90.00 90.00
Fractional positions:
Y 0.048 0.250 0.121
Y 0.119 0.750 0.561
Y 0.210 0.250 0.804
Y 0.290 0.750 0.304
Y 0.381 0.250 0.061
Y 0.452 0.750 0.621
Y 0.548 0.250 0.379
Y 0.619 0.750 0.939
Y 0.710 0.250 0.696
Y 0.790 0.750 0.196
Y 0.881 0.250 0.439
Y 0.952 0.750 0.879
Ni 0.129 0.250 0.370
Ni 0.371 0.750 0.870
Ni 0.629 0.250 0.130
Ni 0.871 0.750 0.630
Ir 0.019 0.750 0.309
Ir 0.192 0.750 0.002
Ir 0.308 0.250 0.502
Ir 0.481 0.250 0.809
Ir 0.519 0.750 0.191
Ir 0.692 0.750 0.498
Ir 0.808 0.250 0.998
Ir 0.981 0.250 0.691